# 1
Material: La3PmY2P6
Method: DFT, GGA-PBE
State: relaxed

Crystal system: monoclinic
Electronic total energy: -83.890 eV for the cell shown
E_form: -153 kJ/mol of atoms

Cell: 7.215 7.215 7.215 Å, 99.59 99.59 120.00°
Atoms (fractional coordinates):
La1 0.166 0.834 0.500
La2 0.834 0.166 0.500
La3 0.500 0.500 0.500
Pm1 0.000 0.000 0.000
Y1 0.333 0.667 0.000
Y2 0.667 0.333 0.000
P1 0.920 0.583 0.761
P2 0.743 0.743 0.239
P3 0.080 0.417 0.239
P4 0.583 0.920 0.761
P5 0.257 0.257 0.761
P6 0.417 0.080 0.239

***

# 2
Material: La2PmZrP4
Method: DFT, GGA-PBE
State: relaxed

Crystal system: monoclinic
Electronic total energy: -56.765 eV for the cell shown
E_form: -144 kJ/mol of atoms

Cell: 4.076 7.069 7.111 Å, 109.13 90.00 90.00°
Atoms (fractional coordinates):
La1 0.500 0.000 0.500
La2 0.000 0.500 0.500
Pm1 0.500 0.500 0.000
Zr1 0.000 0.000 0.000
P1 0.500 0.230 0.226
P2 0.500 0.770 0.774
P3 0.000 0.242 0.767
P4 0.000 0.758 0.233

***

Copy entry 1 word for word.
Material: La3PmY2P6
Method: DFT, GGA-PBE
State: relaxed

Crystal system: monoclinic
Electronic total energy: -83.890 eV for the cell shown
E_form: -153 kJ/mol of atoms

Cell: 7.215 7.215 7.215 Å, 99.59 99.59 120.00°
Atoms (fractional coordinates):
La1 0.166 0.834 0.500
La2 0.834 0.166 0.500
La3 0.500 0.500 0.500
Pm1 0.000 0.000 0.000
Y1 0.333 0.667 0.000
Y2 0.667 0.333 0.000
P1 0.920 0.583 0.761
P2 0.743 0.743 0.239
P3 0.080 0.417 0.239
P4 0.583 0.920 0.761
P5 0.257 0.257 0.761
P6 0.417 0.080 0.239

***

What is the formula in the second record? La2PmZrP4